1.
A geometry-optimized Rb2PbN2 structure, computed with PBE.

Density of states at the Fermi level: 2.30 states/eV/cell
Symmetry: I4/mmm
Calculated total energy: -21.82 eV/cell
Uncorrected formation energy: 0.095 eV per atom
Size of the total moment: 2.0 μB/cell

abc: 6.442 6.442 6.687
angles: 61.20 61.20 90.00
Element x y z (fractional)
Pb  0.000  0.000  0.000
Rb  0.750  0.250  0.500
Rb  0.250  0.750  0.500
N  0.443  0.443  0.115
N  0.557  0.557  0.885



2.
A geometry-optimized Pm2Pr2Y7 structure, computed with PBE.

Density of states at the Fermi level: 18.81 states/eV/cell
Symmetry: C2/m
Calculated total energy: -63.06 eV/cell
Size of the total moment: 0.0 μB/cell

abc: 8.833 10.258 10.258
angles: 56.11 140.49 140.49
Element x y z (fractional)
Pm  0.110  0.852  0.852
Pm  0.890  0.148  0.148
Pr  0.500  0.678  0.322
Pr  0.500  0.322  0.678
Y  0.271  0.919  0.554
Y  0.729  0.446  0.081
Y  0.729  0.081  0.446
Y  0.271  0.554  0.919
Y  0.000  0.000  0.000
Y  0.646  0.395  0.395
Y  0.354  0.605  0.605



3.
A geometry-optimized Cd4InAg7 structure, computed with PBE.

Density of states at the Fermi level: 3.36 states/eV/cell
Symmetry: P-1
Calculated total energy: -26.81 eV/cell
Size of the total moment: 0.0 μB/cell

abc: 5.931 5.334 9.010
angles: 74.54 58.24 88.46
Element x y z (fractional)
Cd  0.491  0.662  0.337
Cd  0.509  0.338  0.663
Cd  0.754  0.825  0.670
Cd  0.246  0.175  0.330
In  0.000  0.000  0.000
Ag  0.751  0.502  0.999
Ag  0.249  0.498  0.001
Ag  0.999  0.328  0.671
Ag  0.001  0.672  0.329
Ag  0.254  0.834  0.665
Ag  0.500  0.000  0.000
Ag  0.746  0.166  0.335



4.
A geometry-optimized Li3Pu2ScTe6 structure, computed with PBE.

Density of states at the Fermi level: 26.58 states/eV/cell
Symmetry: C2/m
Calculated total energy: -72.27 eV/cell
Uncorrected formation energy: -1.057 eV per atom
Size of the total moment: 10.0 μB/cell

abc: 7.489 7.489 7.415
angles: 99.69 99.69 120.00
Element x y z (fractional)
Li  0.168  0.832  0.500
Li  0.832  0.168  0.500
Li  0.500  0.500  0.500
Pu  0.333  0.667  0.000
Pu  0.667  0.333  0.000
Sc  0.000  0.000  0.000
Te  0.916  0.596  0.746
Te  0.765  0.765  0.252
Te  0.084  0.404  0.254
Te  0.596  0.916  0.746
Te  0.235  0.235  0.748
Te  0.404  0.084  0.254